## Mg2HgAs2 (PBEsol)

Data for a relaxed Mg2HgAs2 crystal.

## Properties
* DFT formation energy: -336 meV per atom

Geometry as CIF:
```
data_Mg2HgAs2
_symmetry_space_group_name_H-M 'I 4/m m m'
_symmetry_Int_Tables_number 139
_symmetry_space_group_name_Hall '-I 4 2'
_cell_length_a 4.816
_cell_length_b 4.816
_cell_length_c 9.637
_cell_angle_alpha 90.00
_cell_angle_beta 90.00
_cell_angle_gamma 90.00
loop_
_atom_site_label
_atom_site_type_symbol
_atom_site_fract_x
_atom_site_fract_y
_atom_site_fract_z
_atom_site_occupancy
Mg1 Mg 0.000 0.500 0.250 1
Hg1 Hg 0.000 0.000 0.000 1
As1 As 0.000 0.000 0.374 1
```



## MgHg2As (PBEsol)

Data for a relaxed MgHg2As crystal.

## Properties
* DFT formation energy: -25 meV per atom

Geometry as CIF:
```
data_MgHg2As
_symmetry_space_group_name_H-M 'F -4 3 m'
_symmetry_Int_Tables_number 216
_symmetry_space_group_name_Hall 'F -4 2 3'
_cell_length_a 6.988
_cell_length_b 6.988
_cell_length_c 6.988
_cell_angle_alpha 90.00
_cell_angle_beta 90.00
_cell_angle_gamma 90.00
loop_
_atom_site_label
_atom_site_type_symbol
_atom_site_fract_x
_atom_site_fract_y
_atom_site_fract_z
_atom_site_occupancy
Mg1 Mg 0.000 0.000 0.000 1
Hg1 Hg 0.000 0.000 0.500 1
Hg2 Hg 0.250 0.250 0.750 1
As1 As 0.250 0.250 0.250 1
```



## MgHgAs2 (PBEsol)

Data for a relaxed MgHgAs2 crystal.

## Properties
* DFT formation energy: 39 meV per atom

Geometry as CIF:
```
data_MgHgAs2
_symmetry_space_group_name_H-M 'I -4 m 2'
_symmetry_Int_Tables_number 119
_symmetry_space_group_name_Hall 'I -4 -2'
_cell_length_a 4.036
_cell_length_b 4.036
_cell_length_c 9.809
_cell_angle_alpha 90.00
_cell_angle_beta 90.00
_cell_angle_gamma 90.00
loop_
_atom_site_label
_atom_site_type_symbol
_atom_site_fract_x
_atom_site_fract_y
_atom_site_fract_z
_atom_site_occupancy
Mg1 Mg 0.000 0.000 0.000 1
Hg1 Hg 0.000 0.500 0.750 1
As1 As 0.000 0.000 0.500 1
As2 As 0.000 0.500 0.250 1
```



## MgHg2As (PBEsol)

Data for a relaxed MgHg2As crystal.

## Properties
* DFT formation energy: -68 meV per atom

Geometry as CIF:
```
data_MgHg2As
_symmetry_space_group_name_H-M 'P 4 m m'
_symmetry_Int_Tables_number 99
_cell_length_a 3.864
_cell_length_b 3.864
_cell_length_c 5.829
_cell_angle_alpha 90.00
_cell_angle_beta 90.00
_cell_angle_gamma 90.00
loop_
_symmetry_equiv_pos_as_xyz
'x,y,z'
'-y,x,z'
'-x,-y,z'
'y,-x,z'
'-x,y,z'
'y,x,z'
'x,-y,z'
'-y,-x,z'
loop_
_atom_site_label
_atom_site_type_symbol
_atom_site_fract_x
_atom_site_fract_y
_atom_site_fract_z
_atom_site_occupancy
Mg1 Mg 0.000 0.000 0.000 1
Hg1 Hg 0.000 0.000 0.484 1
Hg2 Hg 0.500 0.500 0.679 1
As1 As 0.500 0.500 0.152 1
```



Summary of mass density in g cm⁻³
5.93 9.74 7.79 9.55
(order as listed above)